The following is a DFT calculation (PBE-GGA) of crystalline LiLuHgPb at its relaxed geometry.

Lattice parameters (Å, degrees): 7.2245 7.2245 7.2245 90.00 90.00 90.00
Closest atoms and distances in Å follow each position.
Space group F-43m (No. 216)
Inequivalent atoms, fractional coordinates:
Li 0.0000 0.0000 0.0000 [4 per cell]  4 Hg 3.13, 4 Pb 3.13
Lu 0.0000 0.0000 0.5000 [4 per cell]  4 Hg 3.13, 4 Pb 3.13
Hg 0.2500 0.2500 0.7500 [4 per cell]  4 Li 3.13, 4 Lu 3.13
Pb 0.2500 0.2500 0.2500 [4 per cell]  4 Li 3.13, 4 Lu 3.13

## Properties
The value obtained for the formation energy is -0.40 eV/atom.

The following is a DFT calculation (PBE-GGA) of crystalline LiLuPuHg at its relaxed geometry.

Lattice parameters (Å, degrees): 7.3616 7.3616 7.3616 90.00 90.00 90.00
Closest atoms and distances in Å follow each position.
Space group F-43m (No. 216)
Inequivalent atoms, fractional coordinates:
Li 0.0000 0.0000 0.0000 [4 per cell]  4 Pu 3.19, 4 Lu 3.19
Lu 0.2500 0.2500 0.7500 [4 per cell]  4 Hg 3.19, 4 Li 3.19
Pu 0.2500 0.2500 0.2500 [4 per cell]  4 Hg 3.19, 4 Li 3.19
Hg 0.0000 0.0000 0.5000 [4 per cell]  4 Lu 3.19, 4 Pu 3.19

## Properties
The value obtained for the formation energy is 0.02 eV/atom.

The following is a DFT calculation (PBE-GGA) of crystalline LiLuScHg at its relaxed geometry.

Lattice parameters (Å, degrees): 7.0930 7.0930 7.0930 90.00 90.00 90.00
Closest atoms and distances in Å follow each position.
Space group F-43m (No. 216)
Inequivalent atoms, fractional coordinates:
Li 0.0000 0.0000 0.0000 [4 per cell]  4 Sc 3.07, 4 Lu 3.07
Lu 0.2500 0.2500 0.2500 [4 per cell]  4 Hg 3.07, 4 Li 3.07
Sc 0.2500 0.2500 0.7500 [4 per cell]  4 Li 3.07, 4 Hg 3.07
Hg 0.0000 0.0000 0.5000 [4 per cell]  4 Sc 3.07, 4 Lu 3.07

## Properties
The value obtained for the formation energy is -0.21 eV/atom.

The following is a DFT calculation (PBE-GGA) of crystalline LiSmLuHg at its relaxed geometry.

Lattice parameters (Å, degrees): 7.3955 7.3955 7.3955 90.00 90.00 90.00
Closest atoms and distances in Å follow each position.
Space group F-43m (No. 216)
Inequivalent atoms, fractional coordinates:
Li 0.0000 0.0000 0.0000 [4 per cell]  4 Sm 3.20, 4 Lu 3.20
Sm 0.2500 0.2500 0.7500 [4 per cell]  4 Hg 3.20, 4 Li 3.20
Lu 0.2500 0.2500 0.2500 [4 per cell]  4 Hg 3.20, 4 Li 3.20
Hg 0.0000 0.0000 0.5000 [4 per cell]  4 Sm 3.20, 4 Lu 3.20

## Properties
The value obtained for the formation energy is -0.20 eV/atom.

The following is a DFT calculation (PBE-GGA) of crystalline LiLuSnHg at its relaxed geometry.

Lattice parameters (Å, degrees): 7.1335 7.1335 7.1335 90.00 90.00 90.00
Closest atoms and distances in Å follow each position.
Space group F-43m (No. 216)
Inequivalent atoms, fractional coordinates:
Li 0.0000 0.0000 0.0000 [4 per cell]  4 Hg 3.09, 4 Sn 3.09
Lu 0.0000 0.0000 0.5000 [4 per cell]  4 Sn 3.09, 4 Hg 3.09
Sn 0.2500 0.2500 0.7500 [4 per cell]  4 Li 3.09, 4 Lu 3.09
Hg 0.2500 0.2500 0.2500 [4 per cell]  4 Li 3.09, 4 Lu 3.09

## Properties
The value obtained for the formation energy is -0.48 eV/atom.

The following is a DFT calculation (PBE-GGA) of crystalline LiTbLuHg at its relaxed geometry.

Lattice parameters (Å, degrees): 7.3286 7.3286 7.3286 90.00 90.00 90.00
Closest atoms and distances in Å follow each position.
Space group F-43m (No. 216)
Inequivalent atoms, fractional coordinates:
Li 0.0000 0.0000 0.0000 [4 per cell]  4 Lu 3.17, 4 Tb 3.17
Tb 0.2500 0.2500 0.7500 [4 per cell]  4 Hg 3.17, 4 Li 3.17
Lu 0.2500 0.2500 0.2500 [4 per cell]  4 Hg 3.17, 4 Li 3.17
Hg 0.0000 0.0000 0.5000 [4 per cell]  4 Tb 3.17, 4 Lu 3.17

## Properties
The value obtained for the formation energy is -0.21 eV/atom.